(1)
First-principles (GGA-PBE) data for a geometry-optimized HgPIrO structure, as listed in OQMD.

## Properties
Space group ... No. 26

Geometry as POSCAR:
```
HgPIrO
1.0
3.431 0.000 0.000
0.000 6.051 0.000
0.000 0.000 7.215
Hg P Ir O
2 2 2 2
direct
0.000 0.155 0.000
0.000 0.845 0.500
0.000 0.234 0.358
0.000 0.766 0.858
0.500 0.456 0.434
0.500 0.544 0.934
0.500 0.385 0.699
0.500 0.615 0.199
```

(2)
First-principles (GGA-PBE) data for a geometry-optimized HgPIrO structure, as listed in OQMD.

## Properties
Space group ... No. 26

Geometry as POSCAR:
```
HgPIrO
1.0
3.906 0.000 0.000
0.000 6.442 0.000
0.000 0.000 5.892
Hg P Ir O
2 2 2 2
direct
0.000 0.147 0.000
0.000 0.853 0.500
0.500 0.372 0.840
0.500 0.628 0.340
0.500 0.305 0.470
0.500 0.695 0.970
0.000 0.230 0.427
0.000 0.770 0.927
```

| no. | distance to the lowest polymorph of the same formula (meV per atom) |
| --- | --- |
| 1 | 0 |
| 2 | 175 |